# Nd2ThHg4 GGA-PBE relaxed
# DOS(E_F)	22.99	states/eV per cell
data_Nd2ThHg4
_chemical_formula_sum 'Nd6 Th3 Hg12'
_cell_length_a 5.1868
_cell_length_b 5.1868
_cell_length_c 27.4287
_cell_angle_alpha 90.00
_cell_angle_beta 90.00
_cell_angle_gamma 120.00
_space_group_name_H-M_alt 'R -3 m'
_space_group_IT_number 166
_space_group_name_Hall '-R 3 2"'
loop_
_atom_site_label
_atom_site_type_symbol
_atom_site_fract_x
_atom_site_fract_y
_atom_site_fract_z
Nd1 Nd 0.0000 0.0000 0.2432
Th1 Th 0.0000 0.0000 0.0000
Hg1 Hg 0.0000 0.0000 0.1284
Hg2 Hg 0.0000 0.0000 0.3772

# NdTh3Hg6 GGA-PBE relaxed
# DOS(E_F)	19.84	states/eV per cell
data_NdTh3Hg6
_chemical_formula_sum 'Nd2 Th6 Hg12'
_cell_length_a 9.9577
_cell_length_b 5.0107
_cell_length_c 10.9918
_cell_angle_alpha 90.00
_cell_angle_beta 99.82
_cell_angle_gamma 90.00
_space_group_name_H-M_alt 'P 1 21/m 1'
_space_group_IT_number 11
loop_
_space_group_symop_operation_xyz
'x,y,z'
'-x,-y,-z'
'-x,y+1/2,-z'
'x,-y+1/2,z'
loop_
_atom_site_label
_atom_site_type_symbol
_atom_site_fract_x
_atom_site_fract_y
_atom_site_fract_z
Nd1 Nd 0.0569 0.2500 0.3809
Th1 Th 0.2374 0.2500 0.9948
Th2 Th 0.3526 0.7500 0.7892
Th3 Th 0.4698 0.2500 0.6049
Hg1 Hg 0.0509 0.7500 0.9034
Hg2 Hg 0.1493 0.7500 0.1986
Hg3 Hg 0.1507 0.2500 0.6829
Hg4 Hg 0.2386 0.7500 0.5001
Hg5 Hg 0.3415 0.2500 0.2906
Hg6 Hg 0.4483 0.7500 0.0889

# Nd3ThHg6 GGA-PBE relaxed
# DOS(E_F)	17.61	states/eV per cell
data_Nd3ThHg6
_chemical_formula_sum 'Nd6 Th2 Hg12'
_cell_length_a 9.5048
_cell_length_b 5.2746
_cell_length_c 11.4140
_cell_angle_alpha 90.00
_cell_angle_beta 107.30
_cell_angle_gamma 90.00
_space_group_name_H-M_alt 'P 1 21/m 1'
_space_group_IT_number 11
loop_
_space_group_symop_operation_xyz
'x,y,z'
'-x,-y,-z'
'-x,y+1/2,-z'
'x,-y+1/2,z'
loop_
_atom_site_label
_atom_site_type_symbol
_atom_site_fract_x
_atom_site_fract_y
_atom_site_fract_z
Nd1 Nd 0.0101 0.2500 0.3874
Nd2 Nd 0.1497 0.7500 0.2033
Nd3 Nd 0.2720 0.2500 0.9949
Th1 Th 0.4341 0.2500 0.6161
Hg1 Hg 0.0372 0.7500 0.9082
Hg2 Hg 0.1507 0.2500 0.7073
Hg3 Hg 0.2598 0.7500 0.4919
Hg4 Hg 0.3444 0.2500 0.3146
Hg5 Hg 0.3587 0.7500 0.7992
Hg6 Hg 0.4393 0.7500 0.0957

# Nd4ThHg3 GGA-PBE relaxed
# DOS(E_F)	9.97	states/eV per cell
data_Nd4ThHg3
_chemical_formula_sum 'Nd4 Th1 Hg3'
_cell_length_a 3.6773
_cell_length_b 5.5899
_cell_length_c 11.3333
_cell_angle_alpha 90.00
_cell_angle_beta 90.00
_cell_angle_gamma 90.00
_space_group_name_H-M_alt 'P m m m'
_space_group_IT_number 47
loop_
_space_group_symop_operation_xyz
'x,y,z'
'-x,-y,-z'
'-x,-y,z'
'x,y,-z'
'x,-y,-z'
'-x,y,z'
'-x,y,-z'
'x,-y,z'
loop_
_atom_site_label
_atom_site_type_symbol
_atom_site_fract_x
_atom_site_fract_y
_atom_site_fract_z
Nd1 Nd 0.0000 0.0000 0.0000
Nd2 Nd 0.0000 0.0000 0.5000
Nd3 Nd 0.0000 0.5000 0.2385
Th1 Th 0.5000 0.5000 0.5000
Hg1 Hg 0.5000 0.0000 0.2532
Hg2 Hg 0.5000 0.5000 0.0000

no.,ΔE_f (eV per atom)
1,-0.2496
2,-0.2514
3,-0.3703
4,-0.2916